This record from the Alexandria database describes a relaxed structure of P2Pb2Au. The functional is PBE-GGA.

The value obtained for the total DFT energy (no corrections) is -4.16 eV per atom. The density of states at the Fermi level comes out at 6.10 states/eV per cell. For the excess energy over the best structure of this formula in the dataset, the calculation gives 0.00 kcal/mol of atoms. For the formation energy from the elements, the calculation gives 143 meV/atom.

Geometry as CIF:
```
data_P2Pb2Au
_chemical_formula_sum 'P4 Pb4 Au2'
_space_group_name_H-M_alt 'I 4/m m m'
_space_group_IT_number 139
_space_group_name_Hall '-I 4 2'
_cell_length_a 3.481
_cell_length_b 3.481
_cell_length_c 18.641
_cell_angle_alpha 90.00
_cell_angle_beta 90.00
_cell_angle_gamma 90.00
loop_
_atom_site_label
_atom_site_fract_x
_atom_site_fract_y
_atom_site_fract_z
_atom_site_occupancy
P1 0.000 0.500 0.250 1
Pb1 0.000 0.000 0.104 1
Au1 0.000 0.000 0.500 1
```